DFT (PBE+U) results for an optimized crystal structure of BaLaNiO4.

Geometry as POSCAR:
```
BaLaNiO4
1.0
-2.140 -3.159 1.011
3.314 -2.081 0.516
-0.391 4.458 5.398
La O Ba Ni
1 4 1 1
Cartesian
0.142 1.335 4.474
0.721 -1.359 4.988
1.848 0.753 6.267
-0.879 0.214 6.514
0.069 0.648 2.170
0.643 -2.093 2.527
0.782 -0.784 6.916
```

For the density, the calculation gives 6611 kg/m³. For the spin magnetization, the calculation gives 1.00 Bohr magnetons per cell. The value obtained for the total energy is -0.4734 Ry/atom. Its symmetry is No. 107.